Compound: HoCuAuO4
Source: the Alexandria database
Functional: PBE-GGA
Structure: optimized geometry

Raw formation energy   -1.302 eV per atom
Electronic total energy   -40.90 eV/f.u.

Cell: 6.2102 7.0946 7.0330 Å, 119.71 90.00 115.96°
Fractional positions:
O: 0.7534 0.0660 0.7830
O: 0.2854 0.5708 0.7193
O: 0.2854 0.5708 0.3515
O: 0.6873 0.9340 0.2170
O: 0.3127 0.0660 0.7830
O: 0.7146 0.4292 0.6485
O: 0.2466 0.9340 0.2170
O: 0.7146 0.4292 0.2807
Cu: 0.9448 0.8896 0.1948
Cu: 0.0552 0.1104 0.8052
Au: 0.5000 0.5000 0.5000
Au: 0.0000 0.5000 0.5000
Ho: 0.5000 0.0000 0.5000
Ho: 0.5000 0.0000 0.0000

***

Compound: NbPH3
Source: the Alexandria database
Functional: PBE-GGA
Structure: optimized geometry

Electronic total energy   -23.32 eV/f.u.
Polymorph energy (0 for the lowest one)   0.0 meV/atom

Cell: 3.6054 3.6054 3.6054 Å, 90.00 90.00 90.00°
Fractional positions:
H: 0.0000 0.5000 0.0000
H: 0.5000 0.0000 0.0000
H: 0.0000 0.0000 0.5000
P: 0.5000 0.5000 0.5000
Nb: 0.0000 0.0000 0.0000

***

| no. | magnetic moment (Bohr magnetons per cell) |
| --- | --- |
| 1 | 2.04 |
| 2 | 0.00 |